Entry from the Alexandria database: a relaxed structure of CuSb2Te (PBE).

Properties
E_form (uncorrected)	0.071	eV per atom
DOS at the Fermi energy	2.00	states/eV/f.u.
VASP energy	-45.60	eV/cell

Geometry as CIF:
```
data_CuSb2Te
_chemical_formula_sum 'Cu3 Sb6 Te3'
_cell_length_a 4.1565
_cell_length_b 4.1565
_cell_length_c 20.2119
_cell_angle_alpha 90.00
_cell_angle_beta 90.00
_cell_angle_gamma 120.00
_space_group_name_H-M_alt 'R -3 m'
_space_group_IT_number 166
_space_group_name_Hall '-R 3 2"'
loop_
_atom_site_label
_atom_site_fract_x
_atom_site_fract_y
_atom_site_fract_z
Cu1 0.0000 0.0000 0.0000
Sb1 0.0000 0.0000 0.2704
Te1 0.0000 0.0000 0.5000
```